First-principles (GGA-PBE) data for an optimized crystal structure of BaSrZnGe, as listed in the Alexandria database.

N(E_F), states/eV per atom: 0.175
ΔH_f (0 K), eV/atom: -0.378

a b c (Å): 5.6263 5.6263 5.6263
angles (deg): 60.00 60.00 60.00
Sites, in units of the cell vectors:
Ge  0.2500  0.2500  0.2500
Zn  0.7500  0.7500  0.7500
Ba  0.5000  0.5000  0.5000
Sr  0.0000  0.0000  0.0000


First-principles (GGA-PBE) data for an optimized crystal structure of Ba2SrZn2Ge2, as listed in the Alexandria database.

N(E_F), states/eV per atom: 0.516
ΔH_f (0 K), eV/atom: -0.438

a b c (Å): 4.4177 4.4177 13.7480
angles (deg): 80.75 80.75 60.00
Sites, in units of the cell vectors:
Ba  0.1143  0.1143  0.6571
Ge  0.2772  0.2772  0.1684
Ge  0.7228  0.7228  0.8316
Zn  0.3892  0.3892  0.8323
Ba  0.8857  0.8857  0.3429
Sr  0.0000  0.0000  0.0000
Zn  0.6108  0.6108  0.1677